# MgMnCu PBE-GGA optimized geometry
data_MgMnCu
_chemical_formula_sum 'Mg4 Mn4 Cu4'
_symmetry_space_group_name_H-M 'C 1 2/m 1'
_symmetry_Int_Tables_number 12
_cell_length_a 9.721
_cell_length_b 3.287
_cell_length_c 6.032
_cell_angle_alpha 90.00
_cell_angle_beta 106.73
_cell_angle_gamma 90.00
loop_
_symmetry_equiv_pos_as_xyz
'x,y,z'
'-x,-y,-z'
'-x,y,-z'
'x,-y,z'
'x+1/2,y+1/2,z'
'-x+1/2,-y+1/2,-z'
'-x+1/2,y+1/2,-z'
'x+1/2,-y+1/2,z'
loop_
_atom_site_label
_atom_site_type_symbol
_atom_site_fract_x
_atom_site_fract_y
_atom_site_fract_z
_atom_site_occupancy
Mg1 Mg 0.000 0.000 0.000 1
Mg2 Mg 0.000 0.000 0.500 1
Mn1 Mn 0.189 0.500 0.326 1
Cu1 Cu 0.174 0.500 0.849 1
# Crystal system: monoclinic
# Formation enthalpy at 0 K, meV per atom: 161

---

# MgMnCu2 PBE-GGA optimized geometry
data_MgMnCu2
_chemical_formula_sum 'Mg4 Mn4 Cu8'
_symmetry_space_group_name_H-M 'I -4 2 d'
_symmetry_Int_Tables_number 122
_symmetry_space_group_name_Hall 'I -4 2bw'
_cell_length_a 3.725
_cell_length_b 3.725
_cell_length_c 17.932
_cell_angle_alpha 90.00
_cell_angle_beta 90.00
_cell_angle_gamma 90.00
loop_
_atom_site_label
_atom_site_type_symbol
_atom_site_fract_x
_atom_site_fract_y
_atom_site_fract_z
_atom_site_occupancy
Mg1 Mg 0.000 0.000 0.000 1
Mn1 Mn 0.000 0.000 0.500 1
Cu1 Cu 0.242 0.250 0.625 1
# Crystal system: tetragonal
# Formation enthalpy at 0 K, meV per atom: 458

---

# MgMnCu PBE-GGA optimized geometry
data_MgMnCu
_chemical_formula_sum 'Mg4 Mn4 Cu4'
_symmetry_space_group_name_H-M 'F -4 3 m'
_symmetry_Int_Tables_number 216
_symmetry_space_group_name_Hall 'F -4 2 3'
_cell_length_a 6.016
_cell_length_b 6.016
_cell_length_c 6.016
_cell_angle_alpha 90.00
_cell_angle_beta 90.00
_cell_angle_gamma 90.00
loop_
_atom_site_label
_atom_site_type_symbol
_atom_site_fract_x
_atom_site_fract_y
_atom_site_fract_z
_atom_site_occupancy
Mg1 Mg 0.000 0.000 0.000 1
Mn1 Mn 0.000 0.000 0.500 1
Cu1 Cu 0.250 0.250 0.250 1
# Crystal system: cubic
# Formation enthalpy at 0 K, meV per atom: 375

---

# MgMnCu2 PBE-GGA optimized geometry
data_MgMnCu2
_chemical_formula_sum 'Mg1 Mn1 Cu2'
_symmetry_space_group_name_H-M 'P m m m'
_symmetry_Int_Tables_number 47
_cell_length_a 3.097
_cell_length_b 3.112
_cell_length_c 5.988
_cell_angle_alpha 90.00
_cell_angle_beta 90.00
_cell_angle_gamma 90.00
loop_
_symmetry_equiv_pos_as_xyz
'x,y,z'
'-x,-y,-z'
'-x,-y,z'
'x,y,-z'
'x,-y,-z'
'-x,y,z'
'-x,y,-z'
'x,-y,z'
loop_
_atom_site_label
_atom_site_type_symbol
_atom_site_fract_x
_atom_site_fract_y
_atom_site_fract_z
_atom_site_occupancy
Mg1 Mg 0.000 0.000 0.000 1
Mn1 Mn 0.000 0.000 0.500 1
Cu1 Cu 0.500 0.500 0.276 1
# Crystal system: orthorhombic
# Formation enthalpy at 0 K, meV per atom: 42

---

# MgMn4Cu PBE-GGA optimized geometry
data_MgMn4Cu
_chemical_formula_sum 'Mg4 Mn16 Cu4'
_symmetry_space_group_name_H-M 'F -4 3 m'
_symmetry_Int_Tables_number 216
_symmetry_space_group_name_Hall 'F -4 2 3'
_cell_length_a 6.677
_cell_length_b 6.677
_cell_length_c 6.677
_cell_angle_alpha 90.00
_cell_angle_beta 90.00
_cell_angle_gamma 90.00
loop_
_atom_site_label
_atom_site_type_symbol
_atom_site_fract_x
_atom_site_fract_y
_atom_site_fract_z
_atom_site_occupancy
Mg1 Mg 0.000 0.000 0.000 1
Mn1 Mn 0.124 0.124 0.624 1
Cu1 Cu 0.250 0.250 0.250 1
# Crystal system: cubic
# Formation enthalpy at 0 K, meV per atom: 344

---

# MgMnCu2 PBE-GGA optimized geometry
data_MgMnCu2
_chemical_formula_sum 'Mg1 Mn1 Cu2'
_symmetry_space_group_name_H-M 'P m m 2'
_symmetry_Int_Tables_number 25
_cell_length_a 3.040
_cell_length_b 3.197
_cell_length_c 5.973
_cell_angle_alpha 90.00
_cell_angle_beta 90.00
_cell_angle_gamma 90.00
loop_
_symmetry_equiv_pos_as_xyz
'x,y,z'
'-x,-y,z'
'-x,y,z'
'x,-y,z'
loop_
_atom_site_label
_atom_site_type_symbol
_atom_site_fract_x
_atom_site_fract_y
_atom_site_fract_z
_atom_site_occupancy
Mg1 Mg 0.000 0.000 0.000 1
Mn1 Mn 0.500 0.500 0.694 1
Cu1 Cu 0.000 0.000 0.478 1
Cu2 Cu 0.500 0.500 0.259 1
# Crystal system: orthorhombic
# Formation enthalpy at 0 K, meV per atom: 110

---

# MgMn3Cu PBE-GGA optimized geometry
data_MgMn3Cu
_chemical_formula_sum 'Mg1 Mn3 Cu1'
_symmetry_space_group_name_H-M 'P m -3 m'
_symmetry_Int_Tables_number 221
_symmetry_space_group_name_Hall '-P 4 2 3'
_cell_length_a 4.589
_cell_length_b 4.589
_cell_length_c 4.589
_cell_angle_alpha 90.00
_cell_angle_beta 90.00
_cell_angle_gamma 90.00
loop_
_atom_site_label
_atom_site_type_symbol
_atom_site_fract_x
_atom_site_fract_y
_atom_site_fract_z
_atom_site_occupancy
Mg1 Mg 0.000 0.000 0.000 1
Mn1 Mn 0.000 0.500 0.500 1
Cu1 Cu 0.500 0.500 0.500 1
# Crystal system: cubic
# Formation enthalpy at 0 K, meV per atom: 802

---

# MgMnCu3 PBE-GGA optimized geometry
data_MgMnCu3
_chemical_formula_sum 'Mg1 Mn1 Cu3'
_symmetry_space_group_name_H-M 'P m -3 m'
_symmetry_Int_Tables_number 221
_symmetry_space_group_name_Hall '-P 4 2 3'
_cell_length_a 4.536
_cell_length_b 4.536
_cell_length_c 4.536
_cell_angle_alpha 90.00
_cell_angle_beta 90.00
_cell_angle_gamma 90.00
loop_
_atom_site_label
_atom_site_type_symbol
_atom_site_fract_x
_atom_site_fract_y
_atom_site_fract_z
_atom_site_occupancy
Mg1 Mg 0.000 0.000 0.000 1
Mn1 Mn 0.500 0.500 0.500 1
Cu1 Cu 0.000 0.500 0.500 1
# Crystal system: cubic
# Formation enthalpy at 0 K, meV per atom: 801

---

# Mg2MnCu PBE-GGA optimized geometry
data_Mg2MnCu
_chemical_formula_sum 'Mg8 Mn4 Cu4'
_symmetry_space_group_name_H-M 'I -4 2 d'
_symmetry_Int_Tables_number 122
_symmetry_space_group_name_Hall 'I -4 2bw'
_cell_length_a 7.258
_cell_length_b 7.258
_cell_length_c 5.488
_cell_angle_alpha 90.00
_cell_angle_beta 90.00
_cell_angle_gamma 90.00
loop_
_atom_site_label
_atom_site_type_symbol
_atom_site_fract_x
_atom_site_fract_y
_atom_site_fract_z
_atom_site_occupancy
Mg1 Mg 0.223 0.750 0.125 1
Mn1 Mn 0.000 0.000 0.500 1
Cu1 Cu 0.000 0.000 0.000 1
# Crystal system: tetragonal
# Formation enthalpy at 0 K, meV per atom: 424

---

# Mg2MnCu PBE-GGA optimized geometry
data_Mg2MnCu
_chemical_formula_sum 'Mg4 Mn2 Cu2'
_symmetry_space_group_name_H-M 'C 1 2/m 1'
_symmetry_Int_Tables_number 12
_cell_length_a 10.003
_cell_length_b 3.265
_cell_length_c 4.587
_cell_angle_alpha 90.00
_cell_angle_beta 116.75
_cell_angle_gamma 90.00
loop_
_symmetry_equiv_pos_as_xyz
'x,y,z'
'-x,-y,-z'
'-x,y,-z'
'x,-y,z'
'x+1/2,y+1/2,z'
'-x+1/2,-y+1/2,-z'
'-x+1/2,y+1/2,-z'
'x+1/2,-y+1/2,z'
loop_
_atom_site_label
_atom_site_type_symbol
_atom_site_fract_x
_atom_site_fract_y
_atom_site_fract_z
_atom_site_occupancy
Mg1 Mg 0.233 0.000 0.233 1
Mn1 Mn 0.000 0.000 0.500 1
Cu1 Cu 0.000 0.500 0.000 1
# Crystal system: monoclinic
# Formation enthalpy at 0 K, meV per atom: 199

---

# MgMnCu2 PBE-GGA optimized geometry
data_MgMnCu2
_chemical_formula_sum 'Mg2 Mn2 Cu4'
_symmetry_space_group_name_H-M 'C 1 2/m 1'
_symmetry_Int_Tables_number 12
_cell_length_a 8.611
_cell_length_b 2.725
_cell_length_c 4.967
_cell_angle_alpha 90.00
_cell_angle_beta 98.96
_cell_angle_gamma 90.00
loop_
_symmetry_equiv_pos_as_xyz
'x,y,z'
'-x,-y,-z'
'-x,y,-z'
'x,-y,z'
'x+1/2,y+1/2,z'
'-x+1/2,-y+1/2,-z'
'-x+1/2,y+1/2,-z'
'x+1/2,-y+1/2,z'
loop_
_atom_site_label
_atom_site_type_symbol
_atom_site_fract_x
_atom_site_fract_y
_atom_site_fract_z
_atom_site_occupancy
Mg1 Mg 0.000 0.000 0.000 1
Mn1 Mn 0.000 0.500 0.500 1
Cu1 Cu 0.245 0.000 0.727 1
# Crystal system: monoclinic
# Formation enthalpy at 0 K, meV per atom: 169

---

# MgMnCu PBE-GGA optimized geometry
data_MgMnCu
_chemical_formula_sum 'Mg4 Mn4 Cu4'
_symmetry_space_group_name_H-M 'C m m m'
_symmetry_Int_Tables_number 65
_symmetry_space_group_name_Hall '-C 2 2'
_cell_length_a 4.340
_cell_length_b 9.841
_cell_length_c 4.303
_cell_angle_alpha 90.00
_cell_angle_beta 90.00
_cell_angle_gamma 90.00
loop_
_atom_site_label
_atom_site_type_symbol
_atom_site_fract_x
_atom_site_fract_y
_atom_site_fract_z
_atom_site_occupancy
Mg1 Mg 0.000 0.156 0.000 1
Mn1 Mn 0.000 0.352 0.500 1
Cu1 Cu 0.000 0.000 0.500 1
Cu2 Cu 0.000 0.500 0.000 1
# Crystal system: orthorhombic
# Formation enthalpy at 0 K, meV per atom: 167

---

# Mg2MnCu PBE-GGA optimized geometry
data_Mg2MnCu
_chemical_formula_sum 'Mg8 Mn4 Cu4'
_symmetry_space_group_name_H-M 'F m -3 m'
_symmetry_Int_Tables_number 225
_symmetry_space_group_name_Hall '-F 4 2 3'
_cell_length_a 6.410
_cell_length_b 6.410
_cell_length_c 6.410
_cell_angle_alpha 90.00
_cell_angle_beta 90.00
_cell_angle_gamma 90.00
loop_
_atom_site_label
_atom_site_type_symbol
_atom_site_fract_x
_atom_site_fract_y
_atom_site_fract_z
_atom_site_occupancy
Mg1 Mg 0.250 0.250 0.250 1
Mn1 Mn 0.000 0.000 0.000 1
Cu1 Cu 0.000 0.000 0.500 1
# Crystal system: cubic
# Formation enthalpy at 0 K, meV per atom: 141